[1]
Computed, not measured: a geometry-optimized Hf2SnP structure at the PBE level of DFT.

The structure in POSCAR format:
```
Hf2SnP
1.0
-3.0417 3.0417 6.2899
3.0417 -3.0417 6.2899
3.0417 3.0417 -6.2899
Hf Sn P
4 2 2
Cartesian
4.5625 1.2425 -1.5725 Hf
1.2425 1.5208 1.5725 Hf
-1.5208 1.7992 4.7174 Hf
1.7992 1.5208 7.8624 Hf
3.0417 0.0000 3.1450 Sn
0.0000 0.0000 6.2899 Sn
0.0000 0.0000 0.0000 P
0.0000 3.0417 3.1450 P
```

Crystal system: tetragonal
Offset from the most stable computed form (meV per atom): 893
Magnetic moment (μB per atom): 0.000

***

[2]
Computed, not measured: a geometry-optimized Mg2Cd4InHg2 structure at the PBE level of DFT.

The structure in POSCAR format:
```
Mg2Cd4InHg2
1.0
3.3521 0.0000 0.0000
-1.6760 2.9030 0.0000
0.0000 0.0000 22.1986
Mg Cd In Hg
2 4 1 2
Cartesian
0.0000 0.0000 0.0000 Mg
0.0000 0.0000 5.0037 Mg
0.0000 0.0000 14.5369 Cd
0.0000 0.0000 19.3559 Cd
0.0000 1.9353 7.3603 Cd
0.0000 1.9353 12.1452 Cd
0.0000 1.9353 2.4933 In
0.0000 0.0000 9.7602 Hg
0.0000 1.9353 16.9368 Hg
```

Crystal system: trigonal
Magnetic moment (μB per atom): 0.000

***

Number 1: formation enthalpy at 0 K 0.35 eV per formula unit, calculated volume 232.8 Å³ per cell. Number 2: formation enthalpy at 0 K 0.20 eV per formula unit, calculated volume 216.0 Å³ per cell.